1.
Entry from Alexandria: a relaxed structure of K2InGa (PBE-GGA).

Output
Formation energy from the elements ... 0.2108 eV per atom
Relative energy among the computed polymorphs ... 0.309 eV per atom

Cell lengths 9.8128, 9.8128, 6.2898 Å; angles 90.00, 90.00, 90.00 degrees
Fractional positions:
K1 0.2190 0.2500 0.1250
K2 0.2500 0.7190 0.3750
K3 0.2500 0.7810 0.8750
K4 0.2810 0.2500 0.6250
K5 0.7190 0.7500 0.6250
K6 0.7500 0.2190 0.8750
K7 0.7500 0.2810 0.3750
K8 0.7810 0.7500 0.1250
In1 0.0000 0.0000 0.5000
In2 0.0000 0.5000 0.7500
In3 0.5000 0.0000 0.2500
In4 0.5000 0.5000 0.0000
Ga1 0.0000 0.0000 0.0000
Ga2 0.0000 0.5000 0.2500
Ga3 0.5000 0.0000 0.7500
Ga4 0.5000 0.5000 0.5000

2.
Entry from Alexandria: a relaxed structure of MgZr2Se (PBE-GGA).

Output
Formation energy without anion corrections ... -251 meV/atom
Relative energy among the computed polymorphs ... 0.222 eV per atom

Cell lengths 4.3939, 4.3939, 8.5503 Å; angles 90.00, 90.00, 90.00 degrees
Fractional positions:
Mg1 0.0000 0.0000 0.0000
Mg2 0.5000 0.5000 0.5000
Zr1 0.0000 0.5000 0.2500
Zr2 0.0000 0.5000 0.7500
Zr3 0.5000 0.0000 0.2500
Zr4 0.5000 0.0000 0.7500
Se1 0.0000 0.0000 0.5000
Se2 0.5000 0.5000 0.0000

3.
Entry from Alexandria: a relaxed structure of Ca8Cd3Rh2 (PBE-GGA).

Output
Formation energy from the elements ... -0.2537 eV per atom

Cell lengths 9.0125, 9.0125, 5.4229 Å; angles 90.00, 90.00, 119.77 degrees
Fractional positions:
Ca1 0.1100 0.8900 0.0000
Ca2 0.1421 0.4124 0.5000
Ca3 0.3120 0.6879 0.0000
Ca4 0.4124 0.1421 0.5000
Ca5 0.5876 0.8579 0.5000
Ca6 0.6879 0.3120 0.0000
Ca7 0.8579 0.5876 0.5000
Ca8 0.8900 0.1100 0.0000
Cd1 0.0000 0.0000 0.5000
Cd2 0.3227 0.3227 0.0000
Cd3 0.6773 0.6773 0.0000
Rh1 0.2209 0.7791 0.5000
Rh2 0.7791 0.2209 0.5000

4.
Entry from Alexandria: a relaxed structure of SrIr2Rh (PBE-GGA).

Output
Formation energy from the elements ... 0.5554 eV per atom
Relative energy among the computed polymorphs ... 0.365 eV per atom

Cell lengths 6.6203, 6.6203, 6.6203 Å; angles 90.00, 90.00, 90.00 degrees
Fractional positions:
Sr1 0.0000 0.0000 0.0000
Sr2 0.0000 0.5000 0.5000
Sr3 0.5000 0.0000 0.5000
Sr4 0.5000 0.5000 0.0000
Ir1 0.0000 0.0000 0.5000
Ir2 0.0000 0.5000 0.0000
Ir3 0.2500 0.2500 0.2500
Ir4 0.2500 0.7500 0.7500
Ir5 0.5000 0.0000 0.0000
Ir6 0.5000 0.5000 0.5000
Ir7 0.7500 0.2500 0.7500
Ir8 0.7500 0.7500 0.2500
Rh1 0.2500 0.2500 0.7500
Rh2 0.2500 0.7500 0.2500
Rh3 0.7500 0.2500 0.2500
Rh4 0.7500 0.7500 0.7500

5.
Entry from Alexandria: a relaxed structure of CaMgOs (PBE-GGA).

Output
Formation energy from the elements ... 0.7108 eV per atom

Cell lengths 6.5704, 6.5704, 6.5704 Å; angles 90.00, 90.00, 90.00 degrees
Fractional positions:
Ca1 0.0000 0.0000 0.0000
Ca2 0.0000 0.5000 0.5000
Ca3 0.5000 0.0000 0.5000
Ca4 0.5000 0.5000 0.0000
Mg1 0.0000 0.0000 0.5000
Mg2 0.0000 0.5000 0.0000
Mg3 0.5000 0.0000 0.0000
Mg4 0.5000 0.5000 0.5000
Os1 0.2500 0.2500 0.2500
Os2 0.2500 0.7500 0.7500
Os3 0.7500 0.2500 0.7500
Os4 0.7500 0.7500 0.2500

6.
Entry from Alexandria: a relaxed structure of Te2AsRu (PBE-GGA).

Output
Formation energy without anion corrections ... 332 meV/atom

Cell lengths 3.1849, 3.1849, 8.5876 Å; angles 90.00, 90.00, 90.00 degrees
Fractional positions:
Te1 0.0000 0.0000 0.2002
Te2 0.0000 0.0000 0.7998
As1 0.5000 0.5000 0.5000
Ru1 0.5000 0.5000 0.0000

7.
Entry from Alexandria: a relaxed structure of La3Pm8Sm (PBE-GGA).

Output
Formation energy from the elements ... 0.2626 eV per atom

Cell lengths 8.8890, 8.8890, 8.8890 Å; angles 136.29, 98.32, 97.61 degrees
Fractional positions:
La1 0.0000 0.0000 0.0000
La2 0.2532 0.7532 0.5000
La3 0.7468 0.2468 0.5000
Pm1 0.0820 0.2507 0.8312
Pm2 0.2554 0.2457 0.5010
Pm3 0.2554 0.7543 0.0097
Pm4 0.4195 0.2507 0.1688
Pm5 0.5805 0.7492 0.8312
Pm6 0.7446 0.2457 0.9903
Pm7 0.7446 0.7543 0.4990
Pm8 0.9180 0.7492 0.1688
Sm1 0.5000 0.5000 0.0000

8.
Entry from Alexandria: a relaxed structure of Nd12In6Pb (PBE-GGA).

Output
Formation energy from the elements ... -0.1805 eV per atom

Cell lengths 9.0503, 9.0503, 9.0503 Å; angles 107.41, 107.41, 107.41 degrees
Fractional positions:
Nd1 0.1051 0.4380 0.1873
Nd2 0.1513 0.4625 0.6179
Nd3 0.1873 0.1051 0.4380
Nd4 0.3821 0.8487 0.5375
Nd5 0.4380 0.1873 0.1051
Nd6 0.4625 0.6179 0.1513
Nd7 0.5375 0.3821 0.8487
Nd8 0.5620 0.8127 0.8949
Nd9 0.6179 0.1513 0.4625
Nd10 0.8127 0.8949 0.5620
Nd11 0.8487 0.5375 0.3821
Nd12 0.8949 0.5620 0.8127
In1 0.1431 0.2442 0.8385
In2 0.1615 0.8569 0.7558
In3 0.2442 0.8385 0.1431
In4 0.7558 0.1615 0.8569
In5 0.8385 0.1431 0.2442
In6 0.8569 0.7558 0.1615
Pb1 0.5000 0.5000 0.5000

no.,magnetization (μB/f.u.)
1,0.0
2,0.0
3,0.0
4,2.8
5,0.0
6,0.0
7,0.0
8,0.0